[1]
First-principles (SCAN) data for a PBEsol-optimized structure of Cu2HgRu, as listed in the Alexandria database.

- formation enthalpy at 0 K (eV per formula unit) = 1.53
- M_tot (μB per formula unit) = 0.0
- total DFT energy (no corrections) (eV per atom) = -32.965

Geometry as POSCAR:
```
Cu2HgRu
1.0
2.691 0.000 0.000
0.000 4.665 0.042
0.000 -1.401 4.450
Cu Ru Hg
2 1 1
Direct
0.000 0.000 0.500 Cu
0.000 0.500 0.000 Cu
0.500 0.500 0.500 Ru
0.500 0.000 0.000 Hg
```

***

[2]
First-principles (SCAN) data for a PBEsol-optimized structure of Cu2HgRu, as listed in the Alexandria database.

- formation enthalpy at 0 K (eV per formula unit) = 1.46
- M_tot (μB per formula unit) = 0.0
- total DFT energy (no corrections) (eV per atom) = -32.983

Geometry as POSCAR:
```
Cu2HgRu
1.0
3.544 0.000 0.000
0.000 3.965 0.000
0.000 0.000 3.965
Hg Cu Ru
1 2 1
Direct
0.500 0.500 0.500 Hg
0.000 0.000 0.500 Cu
0.000 0.500 0.000 Cu
0.500 0.000 0.000 Ru
```